Density functional theory data (PBE) for a geometry-optimized LaSm5Au6 structure.

Unit cell a=5.235 b=7.336 c=8.315 alpha=90.01 beta=108.68 gamma=89.95
Element x y z (fractional)
Au: 0.832 0.747 0.659
Au: 0.832 0.253 0.659
Au: 0.500 0.259 0.000
Au: 0.500 0.741 0.000
Au: 0.168 0.747 0.341
Au: 0.168 0.253 0.341
Sm: 0.665 0.500 0.332
Sm: 0.333 0.000 0.665
Sm: 0.000 0.500 0.000
Sm: 0.667 0.000 0.335
Sm: 0.335 0.500 0.668
La: 0.000 0.000 0.000

## Properties
energy of formation = -0.791 eV per atom
density of states at the Fermi level = 8.07 states/eV/f.u.
SG = No. 2
magnetic moment = 0.000 μB/atom
VASP energy = -4.807 eV per atom



Density functional theory data (PBE) for a geometry-optimized MgAlH2 structure.

Unit cell a=4.550 b=2.930 c=16.378 alpha=90.00 beta=105.67 gamma=90.00
Element x y z (fractional)
Mg: 0.869 0.000 0.624
Mg: 0.869 0.500 0.124
Mg: 0.221 0.000 0.982
Mg: 0.221 0.500 0.482
Al: 0.409 0.000 0.792
Al: 0.409 0.500 0.292
Al: 0.935 0.000 0.324
Al: 0.935 0.500 0.824
H: 0.468 0.000 0.539
H: 0.468 0.500 0.039
H: 0.955 0.000 0.054
H: 0.955 0.500 0.554
H: 0.806 0.000 0.196
H: 0.806 0.500 0.696
H: 0.298 0.000 0.685
H: 0.298 0.500 0.185

## Properties
density of states at the Fermi level = 0.88 states/eV/f.u.
SG = No. 8
magnetic moment = 0.000 μB/atom
VASP energy = -2.973 eV per atom



Density functional theory data (PBE) for a geometry-optimized AcZn3Rh structure.

Unit cell a=5.868 b=6.269 c=6.431 alpha=120.86 beta=90.00 gamma=90.00
Element x y z (fractional)
Ac: 0.250 0.528 0.764
Ac: 0.750 0.472 0.236
Zn: 0.500 0.000 0.290
Zn: 0.500 0.000 0.710
Zn: 0.000 0.000 0.290
Zn: 0.000 0.000 0.710
Zn: 0.250 0.206 0.103
Zn: 0.750 0.794 0.897
Rh: 0.250 0.686 0.343
Rh: 0.750 0.314 0.657

## Properties
energy of formation = -0.425 eV per atom
density of states at the Fermi level = 1.98 states/eV/f.u.
SG = No. 63
magnetic moment = 0.000 μB/atom
VASP energy = -3.481 eV per atom
ΔE to the lowest computed polymorph = 0.0 meV/atom



Density functional theory data (PBE) for a geometry-optimized Ce3BeCo3 structure.

Unit cell a=3.951 b=5.450 c=12.409 alpha=93.11 beta=81.40 gamma=111.26
Element x y z (fractional)
Ce: 0.233 0.402 0.897
Ce: 0.767 0.598 0.103
Ce: 0.169 0.402 0.603
Ce: 0.831 0.598 0.397
Ce: 0.471 0.941 0.750
Ce: 0.529 0.059 0.250
Be: 0.500 0.000 0.000
Be: 0.500 0.000 0.500
Co: 0.984 0.853 0.914
Co: 0.016 0.147 0.086
Co: 0.869 0.853 0.586
Co: 0.131 0.147 0.414
Co: 0.758 0.515 0.750
Co: 0.242 0.485 0.250

## Properties
energy of formation = -0.203 eV per atom
density of states at the Fermi level = 9.46 states/eV/f.u.
SG = No. 15
magnetic moment = 0.000 μB/atom
VASP energy = -6.324 eV per atom